# 1
LiEr2TmSe5 | Alexandria via LeMat-Bulk | PBE | optimized geometry; E = -5.317 eV/atom; symmetry = Cmc2_1 (36)
1.0
2.009 -8.406 0.000
2.009 8.406 0.000
0.000 0.000 12.346
Li Er Tm Se
2 4 2 10
Cartesian
2.009 8.196 6.173 Li
2.009 -8.196 0.000 Li
2.009 2.111 3.809 Er
2.009 1.801 8.676 Er
2.009 -1.801 2.503 Er
2.009 -2.111 9.982 Er
2.009 3.293 0.254 Tm
2.009 -3.293 6.427 Tm
2.009 -8.399 3.758 Se
2.009 8.399 9.931 Se
2.009 6.087 0.276 Se
2.009 5.149 4.447 Se
2.009 4.781 8.413 Se
2.009 0.777 1.172 Se
2.009 -0.777 7.344 Se
2.009 -4.781 2.240 Se
2.009 -5.149 10.620 Se
2.009 -6.087 6.449 Se



# 2
Li2ErTmSe4 | Alexandria via LeMat-Bulk | PBE | optimized geometry; E = -5.046 eV/atom; Fermi-level density of states = 0.000 states/eV/atom; symmetry = P2/m (10)
1.0
6.888 0.000 0.000
0.000 4.030 0.000
-2.349 0.000 6.568
Li Er Tm Se
2 1 1 4
Cartesian
0.000 0.000 0.000 Li
-1.175 2.015 3.284 Li
2.269 0.000 3.284 Er
3.444 2.015 0.000 Tm
-0.047 0.000 4.932 Se
1.129 2.015 1.634 Se
4.586 0.000 1.636 Se
3.410 2.015 4.933 Se



# 3
LiEr2TmSe4 | Alexandria via LeMat-Bulk | PBE | optimized geometry; E = -5.390 eV/atom; Fermi-level density of states = 0.322 states/eV/atom; symmetry = P2/m (10)
1.0
6.943 0.000 0.000
0.000 3.996 0.000
-2.289 0.000 6.560
Li Er Tm Se
1 2 1 4
Cartesian
0.000 0.000 0.000 Li
-1.144 1.998 3.280 Er
2.327 0.000 3.280 Er
3.472 1.998 0.000 Tm
1.139 1.998 1.594 Se
-0.022 0.000 4.961 Se
4.676 0.000 1.599 Se
3.515 1.998 4.966 Se



# 4
LiEr3Tm2Se6 | Alexandria via LeMat-Bulk | PBE | optimized geometry; E = -5.490 eV/atom; Fermi-level density of states = 0.299 states/eV/atom; symmetry = C2/m (12)
1.0
8.752 -2.006 0.000
8.752 2.006 0.000
-1.846 0.000 7.809
Li Er Tm Se
1 3 2 6
Cartesian
0.000 0.000 0.000 Li
-0.923 0.000 3.904 Er
5.530 0.000 1.340 Er
10.128 0.000 6.469 Er
4.589 0.000 5.160 Tm
11.069 0.000 2.649 Tm
2.713 0.000 0.642 Se
1.825 0.000 4.551 Se
7.331 0.000 5.915 Se
8.326 0.000 1.894 Se
13.832 0.000 3.258 Se
12.944 0.000 7.167 Se



# 5
LiEr4TmSe8 | Alexandria via LeMat-Bulk | PBE | optimized geometry; E = -5.527 eV/atom; Fermi-level density of states = 0.000 states/eV/atom; symmetry = R3m (160)
1.0
4.147 2.394 6.759
-4.147 2.394 6.759
0.000 -4.788 6.759
Li Er Tm Se
1 4 1 8
Cartesian
0.000 0.000 0.000 Li
0.000 -2.496 11.021 Er
-2.162 1.248 11.021 Er
0.000 0.000 15.214 Er
2.162 1.248 11.021 Er
0.000 0.000 7.495 Tm
0.000 0.000 2.641 Se
0.000 -2.289 5.886 Se
-1.982 1.145 5.886 Se
-1.926 -1.112 9.346 Se
1.982 1.145 5.886 Se
1.926 -1.112 9.346 Se
0.000 2.224 9.346 Se
0.000 0.000 12.503 Se



# 6
Li2Er3TmSe6 | Alexandria via LeMat-Bulk | PBE | optimized geometry; E = -5.284 eV/atom; Fermi-level density of states = 0.218 states/eV/atom; symmetry = C2/m (12)
1.0
3.461 -5.994 0.000
3.461 5.994 0.000
-2.305 0.000 6.548
Li Er Tm Se
2 3 1 6
Cartesian
3.461 3.986 0.000 Li
3.461 -3.986 0.000 Li
-1.153 0.000 3.274 Er
2.309 1.996 3.274 Er
2.309 -1.996 3.274 Er
3.461 0.000 0.000 Tm
-0.013 2.022 4.962 Se
1.126 0.000 1.593 Se
-0.013 -2.022 4.962 Se
4.630 2.022 1.587 Se
3.491 0.000 4.956 Se
4.630 -2.022 1.587 Se



# 7
Li3Er3USe8 | Alexandria via LeMat-Bulk | PBE | optimized geometry; E = -5.471 eV/atom; Fermi-level density of states = 0.386 states/eV/atom; symmetry = R-3m (166)
1.0
4.060 2.344 6.496
-4.060 2.344 6.496
0.000 -4.688 6.496
Li Er U Se
3 3 1 8
Cartesian
-2.030 -1.172 6.496 Li
-2.030 1.172 12.993 Li
0.000 2.344 6.496 Li
-4.060 0.000 9.744 Er
-2.030 1.172 3.248 Er
2.030 1.172 3.248 Er
0.000 0.000 9.744 U
0.000 0.000 4.879 Se
-2.023 -1.168 11.350 Se
0.000 -2.336 8.139 Se
-2.023 1.168 8.139 Se
2.023 -1.168 11.350 Se
0.000 2.336 11.350 Se
2.023 1.168 8.139 Se
0.000 0.000 14.610 Se



# 8
Li3ErU2Se6 | Alexandria via LeMat-Bulk | PBE | optimized geometry; E = -5.818 eV/atom; Fermi-level density of states = 0.694 states/eV/atom; symmetry = C2/m (12)
1.0
3.500 -6.063 0.000
3.500 6.063 0.000
-2.331 0.000 6.558
Li Er U Se
3 1 2 6
Cartesian
0.000 0.000 0.000 Li
3.500 1.997 0.000 Li
3.500 -1.997 0.000 Li
2.334 0.000 3.279 Er
2.334 4.039 3.279 U
2.334 -4.039 3.279 U
1.180 1.998 1.591 Se
0.026 0.000 4.963 Se
1.180 -1.998 1.591 Se
3.488 1.998 4.968 Se
4.642 0.000 1.595 Se
3.488 -1.998 4.968 Se



# 9
LiErUSe4 | Alexandria via LeMat-Bulk | PBE | optimized geometry; E = -5.969 eV/atom; Fermi-level density of states = 0.616 states/eV/atom; symmetry = Imma (74)
1.0
-4.091 4.177 5.813
4.091 -4.177 5.813
4.091 4.177 -5.813
Li Er U Se
2 2 2 8
Cartesian
0.000 2.089 1.531 Li
4.091 2.089 4.281 Li
2.046 2.089 -2.906 Er
2.046 -2.089 2.906 Er
4.091 0.000 0.000 U
0.000 0.000 5.813 U
4.091 -0.109 2.824 Se
4.091 4.069 -2.824 Se
2.147 2.089 -0.053 Se
6.035 2.089 -0.053 Se
-1.944 2.089 5.866 Se
1.944 2.089 5.866 Se
0.000 0.109 8.637 Se
0.000 4.286 2.988 Se



# 10
Li4Er3USe8 | Alexandria via LeMat-Bulk | PBE | optimized geometry; E = -5.331 eV/atom; Fermi-level density of states = 0.508 states/eV/atom; symmetry = R-3m (166)
1.0
4.046 2.336 6.507
-4.046 2.336 6.507
0.000 -4.672 6.507
Li Er U Se
4 3 1 8
Cartesian
0.000 0.000 0.000 Li
-2.023 -1.168 6.507 Li
-2.023 1.168 13.014 Li
0.000 2.336 6.507 Li
-4.046 0.000 9.760 Er
-2.023 1.168 3.253 Er
2.023 1.168 3.253 Er
0.000 0.000 9.760 U
0.000 -2.361 8.105 Se
-2.045 1.181 8.105 Se
-2.045 -1.181 11.415 Se
0.000 0.000 4.890 Se
0.000 0.000 14.631 Se
2.045 1.181 8.105 Se
2.045 -1.181 11.415 Se
0.000 2.361 11.415 Se



# 11
LiY3Er2Se6 | Alexandria via LeMat-Bulk | PBE | optimized geometry; E = -6.023 eV/atom; Fermi-level density of states = 0.426 states/eV/atom; symmetry = C2/m (12)
1.0
3.490 -6.059 0.000
3.490 6.059 0.000
-2.344 0.000 6.629
Li Y Er Se
1 3 2 6
Cartesian
0.000 0.000 0.000 Li
2.318 4.036 3.314 Y
2.318 0.000 3.314 Y
2.318 -4.036 3.314 Y
3.490 2.003 0.000 Er
3.490 -2.003 0.000 Er
1.128 1.973 1.598 Se
-0.082 0.000 5.043 Se
1.128 -1.973 1.598 Se
3.508 1.973 5.030 Se
4.718 0.000 1.585 Se
3.508 -1.973 5.030 Se



# 12
LiYEr2Se4 | Alexandria via LeMat-Bulk | PBE | optimized geometry; E = -5.659 eV/atom; Fermi-level density of states = 0.327 states/eV/atom; symmetry = P2/m (10)
1.0
6.985 0.000 0.000
0.000 4.020 0.000
-2.306 0.000 6.602
Li Y Er Se
1 1 2 4
Cartesian
0.000 0.000 0.000 Li
-1.153 2.010 3.301 Y
2.340 0.000 3.301 Er
3.493 2.010 0.000 Er
1.160 2.010 1.608 Se
-0.010 0.000 4.999 Se
4.690 0.000 1.603 Se
3.520 2.010 4.993 Se



Question: Among the records above, which one has the highest E?
Answer: Li2ErTmSe4



Question: Among the records above, which one has the highest E?
Answer: Li2ErTmSe4



Question: Which of these has the lowest E?
Answer: LiY3Er2Se6



Repeat the second record exactly.
Li2ErTmSe4 | Alexandria via LeMat-Bulk | PBE | optimized geometry; E = -5.046 eV/atom; Fermi-level density of states = 0.000 states/eV/atom; symmetry = P2/m (10)
1.0
6.888 0.000 0.000
0.000 4.030 0.000
-2.349 0.000 6.568
Li Er Tm Se
2 1 1 4
Cartesian
0.000 0.000 0.000 Li
-1.175 2.015 3.284 Li
2.269 0.000 3.284 Er
3.444 2.015 0.000 Tm
-0.047 0.000 4.932 Se
1.129 2.015 1.634 Se
4.586 0.000 1.636 Se
3.410 2.015 4.933 Se